A plane-wave DFT calculation with PBE was carried out for an optimized crystal structure of TbSmTlTe.

The crystal system is tetragonal. The total energy is -4.529 eV/atom. Its formation energy from raw total energies is -0.81 eV per atom. For the spin magnetization, the calculation gives 0.00 μB/cell.

It has space group P4/mmm (No. 123), with a = 4.429 Å, b = 4.429 Å, c = 6.283 Å, α = 90.00°, β = 90.00° and γ = 90.00°. Symmetry generates all atoms from Tb at (0.000, 0.000, 0.000), Sm at (0.500, 0.500, 0.500), Tl at (0.000, 0.000, 0.500) and Te at (0.500, 0.500, 0.000).

A plane-wave DFT calculation with PBE was carried out for an optimized crystal structure of Tb3SmTl4Te8.

The crystal system is trigonal. The total energy is -4.388 eV/atom. Its formation energy from raw total energies is -1.06 eV per atom. For the spin magnetization, the calculation gives 0.00 μB/cell.

It has space group R-3m (No. 166, hexagonal axes), with a = 8.9630 Å, b = 8.9630 Å, c = 24.5539 Å, α = 90.00°, β = 90.00° and γ = 120.00°. Symmetry generates all atoms from Tb at (0.0000, 0.5000, 0.0000), Sm at (0.0000, 0.0000, 0.0000), Tl at (0.0000, 0.0000, 0.5000), Tl at (0.0000, 0.5000, 0.5000), Te at (0.0000, 0.0000, 0.2621) and Te at (0.0034, 0.5017, 0.2615).

A plane-wave DFT calculation with PBE was carried out for an optimized crystal structure of Tb2SmTm3Te6.

The crystal system is monoclinic. The total energy is -5.108 eV/atom. Its formation energy from raw total energies is -1.25 eV per atom. For the spin magnetization, the calculation gives 0.00 μB/cell.

It has space group C2/m (No. 12), with a = 19.066 Å, b = 4.313 Å, c = 8.773 Å, α = 90.00°, β = 104.70° and γ = 90.00°. Symmetry generates all atoms from Tb at (0.165, 0.000, 0.330), Sm at (0.000, 0.500, 0.000), Tm at (0.000, 0.500, 0.500), Tm at (0.164, 0.000, 0.832), Te at (0.001, 0.000, 0.742), Te at (0.166, 0.500, 0.586) and Te at (0.171, 0.500, 0.080).

A plane-wave DFT calculation with PBE was carried out for an optimized crystal structure of TbSm2TmTe6.

The crystal system is trigonal. The total energy is -5.101 eV/atom. Its formation energy from raw total energies is -1.36 eV per atom. For the spin magnetization, the calculation gives 0.00 μB/cell.

It has space group R3 (No. 146, hexagonal axes), with a = 7.7668 Å, b = 7.7668 Å, c = 21.1653 Å, α = 90.00°, β = 90.00° and γ = 120.00°. Symmetry generates all atoms from Tb at (0.0000, 0.0000, 0.0000), Sm at (0.0000, 0.0000, 0.1879), Sm at (0.0000, 0.0000, 0.6883), Tm at (0.0000, 0.0000, 0.5006), Te at (0.0111, 0.6959, 0.5908) and Te at (0.0125, 0.3601, 0.7586).

A plane-wave DFT calculation with PBE was carried out for an optimized crystal structure of Tb2SmTmTe6.

The crystal system is trigonal. The total energy is -5.090 eV/atom. Its formation energy from raw total energies is -1.36 eV per atom. For the spin magnetization, the calculation gives 0.00 μB/cell.

It has space group R3 (No. 146, hexagonal axes), with a = 7.7287 Å, b = 7.7287 Å, c = 21.1467 Å, α = 90.00°, β = 90.00° and γ = 120.00°. Symmetry generates all atoms from Tb at (0.0000, 0.0000, 0.0000), Tb at (0.0000, 0.0000, 0.4986), Sm at (0.0000, 0.0000, 0.1868), Tm at (0.0000, 0.0000, 0.6851), Te at (0.0042, 0.6933, 0.5935) and Te at (0.0184, 0.3478, 0.7583).

A plane-wave DFT calculation with PBE was carried out for an optimized crystal structure of TbSm2TmTe5.

The crystal system is tetragonal. The total energy is -4.574 eV/atom. Its formation energy from raw total energies is -0.77 eV per atom. For the spin magnetization, the calculation gives 0.52 μB/cell.

It has space group P4/mmm (No. 123), with a = 5.487 Å, b = 5.487 Å, c = 11.550 Å, α = 90.00°, β = 90.00° and γ = 90.00°. Symmetry generates all atoms from Tb at (0.000, 0.000, 0.000), Sm at (0.500, 0.500, 0.341), Tm at (0.000, 0.000, 0.500), Te at (0.000, 0.000, 0.247), Te at (0.000, 0.500, 0.500) and Te at (0.500, 0.500, 0.000).

A plane-wave DFT calculation with PBE was carried out for an optimized crystal structure of Tb3Sm3TmTe8.

The crystal system is trigonal. The total energy is -5.237 eV/atom. Its formation energy from raw total energies is -1.39 eV per atom. For the spin magnetization, the calculation gives 0.00 μB/cell.

It has space group R-3m (No. 166, hexagonal axes), with a = 8.7658 Å, b = 8.7658 Å, c = 21.5492 Å, α = 90.00°, β = 90.00° and γ = 120.00°. Symmetry generates all atoms from Tb at (0.0000, 0.5000, 0.0000), Sm at (0.0000, 0.5000, 0.5000), Tm at (0.0000, 0.0000, 0.0000), Te at (0.0000, 0.0000, 0.2519) and Te at (0.0038, 0.5019, 0.2510).

A plane-wave DFT calculation with PBE was carried out for an optimized crystal structure of Tb3SmTm2Te6.

The crystal system is monoclinic. The total energy is -5.143 eV/atom. Its formation energy from raw total energies is -1.28 eV per atom. For the spin magnetization, the calculation gives 0.00 μB/cell.

It has space group C2/m (No. 12), with a = 18.983 Å, b = 4.328 Å, c = 8.782 Å, α = 90.00°, β = 102.67° and γ = 90.00°. Symmetry generates all atoms from Tb at (0.000, 0.000, 0.000), Tb at (0.160, 0.500, 0.334), Sm at (0.000, 0.000, 0.500), Tm at (0.164, 0.500, 0.831), Te at (0.003, 0.500, 0.756), Te at (0.169, 0.000, 0.081) and Te at (0.171, 0.000, 0.591).

A plane-wave DFT calculation with PBE was carried out for an optimized crystal structure of Tb3Sm4TmTe8.

The crystal system is trigonal. The total energy is -5.225 eV/atom. Its formation energy from raw total energies is -1.33 eV per atom. For the spin magnetization, the calculation gives 0.00 μB/cell.

It has space group R-3m (No. 166, hexagonal axes), with a = 8.7519 Å, b = 8.7519 Å, c = 21.7974 Å, α = 90.00°, β = 90.00° and γ = 120.00°. Symmetry generates all atoms from Tb at (0.0000, 0.5000, 0.0000), Sm at (0.0000, 0.0000, 0.5000), Sm at (0.0000, 0.5000, 0.5000), Tm at (0.0000, 0.0000, 0.0000), Te at (0.0000, 0.0000, 0.2521) and Te at (0.0032, 0.5016, 0.7471).

A plane-wave DFT calculation with PBE was carried out for an optimized crystal structure of TbSmTm2Te6.

The crystal system is trigonal. The total energy is -5.064 eV/atom. Its formation energy from raw total energies is -1.35 eV per atom. For the spin magnetization, the calculation gives 0.00 μB/cell.

It has space group R3 (No. 146, hexagonal axes), with a = 7.7028 Å, b = 7.7028 Å, c = 21.0160 Å, α = 90.00°, β = 90.00° and γ = 120.00°. Symmetry generates all atoms from Tb at (0.0000, 0.0000, 0.0000), Sm at (0.0000, 0.0000, 0.5014), Tm at (0.0000, 0.0000, 0.3145), Tm at (0.0000, 0.0000, 0.8136), Te at (0.0099, 0.3198, 0.4043) and Te at (0.0149, 0.6515, 0.5716).

A plane-wave DFT calculation with PBE was carried out for an optimized crystal structure of TbSm2Tm3Te6.

The crystal system is monoclinic. The total energy is -5.129 eV/atom. Its formation energy from raw total energies is -1.27 eV per atom. For the spin magnetization, the calculation gives 0.00 μB/cell.

It has space group C2/m (No. 12), with a = 19.144 Å, b = 4.316 Å, c = 8.817 Å, α = 90.00°, β = 104.97° and γ = 90.00°. Symmetry generates all atoms from Tb at (0.000, 0.000, 0.000), Sm at (0.168, 0.500, 0.337), Tm at (0.000, 0.000, 0.500), Tm at (0.169, 0.500, 0.835), Te at (0.003, 0.500, 0.747), Te at (0.163, 0.000, 0.591) and Te at (0.167, 0.000, 0.076).

A plane-wave DFT calculation with PBE was carried out for an optimized crystal structure of TbSm3Tm2Te6.

The crystal system is monoclinic. The total energy is -5.186 eV/atom. Its formation energy from raw total energies is -1.30 eV per atom. For the spin magnetization, the calculation gives 0.00 μB/cell.

It has space group C2/m (No. 12), with a = 19.221 Å, b = 4.345 Å, c = 8.854 Å, α = 90.00°, β = 104.62° and γ = 90.00°. Symmetry generates all atoms from Tb at (0.000, 0.000, 0.000), Sm at (0.000, 0.000, 0.500), Sm at (0.164, 0.500, 0.832), Tm at (0.165, 0.500, 0.330), Te at (0.004, 0.500, 0.248), Te at (0.167, 0.000, 0.091) and Te at (0.170, 0.000, 0.576).